[1]
# KGdNiTe3

A geometry-optimized KGdNiTe3 structure (PBE, OQMD via LeMat-Bulk).

```
data_KGdNiTe3
_symmetry_space_group_name_H-M 'P 1'
_symmetry_Int_Tables_number 1
_cell_length_a 8.797
_cell_length_b 8.797
_cell_length_c 10.693
_cell_angle_alpha 90.00
_cell_angle_beta 90.00
_cell_angle_gamma 27.74
loop_
_symmetry_equiv_pos_as_xyz
'x,y,z'
loop_
_atom_site_label
_atom_site_fract_x
_atom_site_fract_y
_atom_site_fract_z
Gd1 0.000 0.000 0.000
Gd2 0.000 0.000 0.500
K1 0.746 0.746 0.250
K2 0.254 0.254 0.750
Ni1 0.490 0.490 0.250
Ni2 0.510 0.510 0.750
Te1 0.381 0.381 0.090
Te2 0.083 0.083 0.250
Te3 0.381 0.381 0.410
Te4 0.619 0.619 0.590
Te5 0.917 0.917 0.750
Te6 0.619 0.619 0.910
```

Output
energy above the lowest structure with this stoichiometry: 19.3 meV per atom
calculated density: 5.50 g/cm3
M_tot: 0.00 μB per atom



[2]
# HfTc

A geometry-optimized HfTc structure (PBE, OQMD via LeMat-Bulk).

```
data_HfTc
_symmetry_space_group_name_H-M 'P 1'
_symmetry_Int_Tables_number 1
_cell_length_a 3.259
_cell_length_b 3.259
_cell_length_c 3.259
_cell_angle_alpha 90.00
_cell_angle_beta 90.00
_cell_angle_gamma 90.00
loop_
_symmetry_equiv_pos_as_xyz
'x,y,z'
loop_
_atom_site_label
_atom_site_fract_x
_atom_site_fract_y
_atom_site_fract_z
Hf1 0.000 0.000 0.000
Tc1 0.500 0.500 0.500
```

Output
calculated density: 13.27 g/cm3
M_tot: 0.00 μB per atom
ΔH_f (0 K): -482 meV/atom



[3]
# Gd2Si4CN6

A geometry-optimized Gd2Si4CN6 structure (PBE, OQMD via LeMat-Bulk).

```
data_Gd2Si4CN6
_symmetry_space_group_name_H-M 'P 1'
_symmetry_Int_Tables_number 1
_cell_length_a 5.958
_cell_length_b 9.933
_cell_length_c 11.936
_cell_angle_alpha 90.00
_cell_angle_beta 119.54
_cell_angle_gamma 90.00
loop_
_symmetry_equiv_pos_as_xyz
'x,y,z'
loop_
_atom_site_label
_atom_site_fract_x
_atom_site_fract_y
_atom_site_fract_z
C1 0.975 0.793 0.247
C2 0.025 0.293 0.253
C3 0.975 0.707 0.747
C4 0.025 0.207 0.753
Gd1 0.338 0.914 0.079
Gd2 0.334 0.561 0.098
Gd3 0.666 0.061 0.402
Gd4 0.662 0.414 0.421
Gd5 0.338 0.586 0.579
Gd6 0.334 0.939 0.598
Gd7 0.666 0.439 0.902
Gd8 0.662 0.086 0.921
N1 0.507 0.292 0.002
N2 0.046 0.213 0.010
N3 0.939 0.545 0.101
N4 0.700 0.056 0.139
N5 0.236 0.037 0.220
N6 0.517 0.266 0.245
N7 0.483 0.766 0.255
N8 0.764 0.537 0.280
N9 0.300 0.556 0.361
N10 0.061 0.045 0.399
N11 0.954 0.713 0.490
N12 0.493 0.792 0.498
N13 0.507 0.208 0.502
N14 0.046 0.287 0.510
N15 0.939 0.955 0.601
N16 0.700 0.444 0.639
N17 0.236 0.463 0.720
N18 0.517 0.234 0.745
N19 0.483 0.734 0.755
N20 0.764 0.963 0.780
N21 0.300 0.944 0.861
N22 0.061 0.455 0.899
N23 0.954 0.787 0.990
N24 0.493 0.708 0.998
Si1 0.833 0.713 0.080
Si2 0.678 0.230 0.160
Si3 0.201 0.207 0.176
Si4 0.993 0.981 0.250
Si5 0.007 0.481 0.250
Si6 0.799 0.707 0.324
Si7 0.322 0.730 0.340
Si8 0.167 0.213 0.420
Si9 0.833 0.787 0.580
Si10 0.678 0.270 0.660
Si11 0.201 0.293 0.676
Si12 0.993 0.519 0.750
Si13 0.007 0.019 0.750
Si14 0.799 0.793 0.824
Si15 0.322 0.770 0.840
Si16 0.167 0.287 0.920
```

Output
calculated density: 5.65 g/cm3
M_tot: 0.00 μB per atom
calculated total energy: -0.5978 Ry per atom



[4]
# Dy2HoNi2

A geometry-optimized Dy2HoNi2 structure (PBE, OQMD via LeMat-Bulk).

```
data_Dy2HoNi2
_symmetry_space_group_name_H-M 'P 1'
_symmetry_Int_Tables_number 1
_cell_length_a 6.867
_cell_length_b 6.867
_cell_length_c 9.463
_cell_angle_alpha 104.85
_cell_angle_beta 104.85
_cell_angle_gamma 30.72
loop_
_symmetry_equiv_pos_as_xyz
'x,y,z'
loop_
_atom_site_label
_atom_site_fract_x
_atom_site_fract_y
_atom_site_fract_z
Dy1 0.868 0.868 0.003
Dy2 0.144 0.144 0.368
Dy3 0.856 0.856 0.632
Dy4 0.132 0.132 0.997
Ho1 0.403 0.403 0.327
Ho2 0.597 0.597 0.673
Ni1 0.535 0.535 0.144
Ni2 0.744 0.744 0.227
Ni3 0.256 0.256 0.773
Ni4 0.465 0.465 0.856
```

Output
calculated density: 9.18 g/cm3
M_tot: 0.03 μB per atom
ΔH_f (0 K): -377 meV/atom



[5]
# HfAgB4

A geometry-optimized HfAgB4 structure (PBE, OQMD via LeMat-Bulk).

```
data_HfAgB4
_symmetry_space_group_name_H-M 'P 1'
_symmetry_Int_Tables_number 1
_cell_length_a 3.127
_cell_length_b 3.127
_cell_length_c 7.355
_cell_angle_alpha 90.00
_cell_angle_beta 90.00
_cell_angle_gamma 120.00
loop_
_symmetry_equiv_pos_as_xyz
'x,y,z'
loop_
_atom_site_label
_atom_site_fract_x
_atom_site_fract_y
_atom_site_fract_z
Ag1 0.000 0.000 0.000
B1 0.667 0.333 0.270
B2 0.333 0.667 0.270
B3 0.667 0.333 0.730
B4 0.333 0.667 0.730
Hf1 0.000 0.000 0.500
```

Output
energy above the lowest structure with this stoichiometry: 0.0 meV per atom
calculated density: 8.79 g/cm3
M_tot: 0.00 μB per atom



[6]
# SmErRe

A geometry-optimized SmErRe structure (PBE, OQMD via LeMat-Bulk).

```
data_SmErRe
_symmetry_space_group_name_H-M 'P 1'
_symmetry_Int_Tables_number 1
_cell_length_a 4.790
_cell_length_b 4.790
_cell_length_c 4.790
_cell_angle_alpha 60.00
_cell_angle_beta 60.00
_cell_angle_gamma 60.00
loop_
_symmetry_equiv_pos_as_xyz
'x,y,z'
loop_
_atom_site_label
_atom_site_fract_x
_atom_site_fract_y
_atom_site_fract_z
Er1 0.250 0.250 0.250
Re1 0.750 0.750 0.750
Sm1 0.000 0.000 0.000
```

Output
calculated density: 10.76 g/cm3
M_tot: 0.04 μB per atom
ΔH_f (0 K): 1201 meV/atom



[7]
# ScCuSnTe3

A geometry-optimized ScCuSnTe3 structure (PBE, OQMD via LeMat-Bulk).

```
data_ScCuSnTe3
_symmetry_space_group_name_H-M 'P 1'
_symmetry_Int_Tables_number 1
_cell_length_a 9.747
_cell_length_b 9.747
_cell_length_c 8.486
_cell_angle_alpha 101.69
_cell_angle_beta 101.69
_cell_angle_gamma 24.79
loop_
_symmetry_equiv_pos_as_xyz
'x,y,z'
loop_
_atom_site_label
_atom_site_fract_x
_atom_site_fract_y
_atom_site_fract_z
Cu1 0.456 0.456 0.293
Cu2 0.544 0.544 0.707
Sc1 0.841 0.841 0.415
Sc2 0.159 0.159 0.585
Sn1 0.127 0.127 0.073
Sn2 0.873 0.873 0.927
Te1 0.500 0.500 0.000
Te2 0.319 0.319 0.170
Te3 0.680 0.680 0.355
Te4 0.000 0.000 0.500
Te5 0.320 0.320 0.645
Te6 0.681 0.681 0.830
```

Output
energy above the lowest structure with this stoichiometry: 48.8 meV per atom
calculated density: 6.13 g/cm3
M_tot: 0.00 μB per atom



[8]
# NiBiMo2

A geometry-optimized NiBiMo2 structure (PBE, OQMD via LeMat-Bulk).

```
data_NiBiMo2
_symmetry_space_group_name_H-M 'P 1'
_symmetry_Int_Tables_number 1
_cell_length_a 4.561
_cell_length_b 4.561
_cell_length_c 4.561
_cell_angle_alpha 60.00
_cell_angle_beta 60.00
_cell_angle_gamma 60.00
loop_
_symmetry_equiv_pos_as_xyz
'x,y,z'
loop_
_atom_site_label
_atom_site_fract_x
_atom_site_fract_y
_atom_site_fract_z
Bi1 0.500 0.500 0.500
Mo1 0.000 0.000 0.000
Mo2 0.750 0.750 0.750
Ni1 0.250 0.250 0.250
```

Output
calculated density: 11.37 g/cm3
M_tot: 0.16 μB per atom
calculated total energy: -0.5306 Ry per atom



[9]
# Lu3AgC

A geometry-optimized Lu3AgC structure (PBE, OQMD via LeMat-Bulk).

```
data_Lu3AgC
_symmetry_space_group_name_H-M 'P 1'
_symmetry_Int_Tables_number 1
_cell_length_a 4.758
_cell_length_b 4.758
_cell_length_c 4.758
_cell_angle_alpha 90.00
_cell_angle_beta 90.00
_cell_angle_gamma 90.00
loop_
_symmetry_equiv_pos_as_xyz
'x,y,z'
loop_
_atom_site_label
_atom_site_fract_x
_atom_site_fract_y
_atom_site_fract_z
Ag1 0.000 0.000 0.000
C1 0.500 0.500 0.500
Lu1 0.500 0.500 0.000
Lu2 0.500 0.000 0.500
Lu3 0.000 0.500 0.500
```

Output
calculated density: 9.94 g/cm3
M_tot: 0.01 μB per atom
calculated total energy: -0.3983 Ry per atom



[10]
# Ho3In3AgPt2

A geometry-optimized Ho3In3AgPt2 structure (PBE, OQMD via LeMat-Bulk).

```
data_Ho3In3AgPt2
_symmetry_space_group_name_H-M 'P 1'
_symmetry_Int_Tables_number 1
_cell_length_a 7.809
_cell_length_b 7.809
_cell_length_c 3.773
_cell_angle_alpha 90.00
_cell_angle_beta 90.00
_cell_angle_gamma 120.00
loop_
_symmetry_equiv_pos_as_xyz
'x,y,z'
loop_
_atom_site_label
_atom_site_fract_x
_atom_site_fract_y
_atom_site_fract_z
Ag1 0.000 0.000 0.000
Ho1 0.588 0.000 0.000
Ho2 0.412 0.412 0.000
Ho3 0.000 0.588 0.000
In1 0.268 0.000 0.500
In2 0.000 0.268 0.500
In3 0.732 0.732 0.500
Pt1 0.667 0.333 0.500
Pt2 0.333 0.667 0.500
```

Output
calculated density: 11.14 g/cm3
M_tot: 0.00 μB per atom
calculated total energy: -0.3619 Ry per atom



[11]
# LaNd2Mg3Pt2Au

A geometry-optimized LaNd2Mg3Pt2Au structure (PBE, OQMD via LeMat-Bulk).

```
data_LaNd2Mg3Pt2Au
_symmetry_space_group_name_H-M 'P 1'
_symmetry_Int_Tables_number 1
_cell_length_a 4.154
_cell_length_b 7.628
_cell_length_c 7.628
_cell_angle_alpha 119.66
_cell_angle_beta 90.00
_cell_angle_gamma 90.00
loop_
_symmetry_equiv_pos_as_xyz
'x,y,z'
loop_
_atom_site_label
_atom_site_fract_x
_atom_site_fract_y
_atom_site_fract_z
Au1 0.000 0.001 0.001
La1 0.000 0.579 0.579
Mg1 0.500 0.755 0.003
Mg2 0.500 0.242 0.242
Mg3 0.500 0.003 0.755
Nd1 0.000 0.417 0.001
Nd2 0.000 0.001 0.417
Pt1 0.500 0.667 0.335
Pt2 0.500 0.335 0.667
```

Output
calculated density: 8.60 g/cm3
M_tot: 0.00 μB per atom
calculated total energy: -0.3425 Ry per atom



[12]
# NiBW

A geometry-optimized NiBW structure (PBE, OQMD via LeMat-Bulk).

```
data_NiBW
_symmetry_space_group_name_H-M 'P 1'
_symmetry_Int_Tables_number 1
_cell_length_a 3.839
_cell_length_b 3.839
_cell_length_c 3.839
_cell_angle_alpha 60.00
_cell_angle_beta 60.00
_cell_angle_gamma 60.00
loop_
_symmetry_equiv_pos_as_xyz
'x,y,z'
loop_
_atom_site_label
_atom_site_fract_x
_atom_site_fract_y
_atom_site_fract_z
B1 0.250 0.250 0.250
Ni1 0.750 0.750 0.750
W1 0.000 0.000 0.000
```

Output
calculated density: 10.51 g/cm3
M_tot: 0.00 μB per atom
calculated total energy: -0.5560 Ry per atom



[13]
# TaMo2As

A geometry-optimized TaMo2As structure (PBE, OQMD via LeMat-Bulk).

```
data_TaMo2As
_symmetry_space_group_name_H-M 'P 1'
_symmetry_Int_Tables_number 1
_cell_length_a 4.504
_cell_length_b 4.504
_cell_length_c 4.504
_cell_angle_alpha 60.00
_cell_angle_beta 60.00
_cell_angle_gamma 60.00
loop_
_symmetry_equiv_pos_as_xyz
'x,y,z'
loop_
_atom_site_label
_atom_site_fract_x
_atom_site_fract_y
_atom_site_fract_z
As1 0.500 0.500 0.500
Mo1 0.000 0.000 0.000
Mo2 0.750 0.750 0.750
Ta1 0.250 0.250 0.250
```

Output
calculated density: 11.51 g/cm3
M_tot: 0.00 μB per atom
calculated total energy: -0.6857 Ry per atom



[14]
# PmY3S6

A geometry-optimized PmY3S6 structure (PBE, OQMD via LeMat-Bulk).

```
data_PmY3S6
_symmetry_space_group_name_H-M 'P 1'
_symmetry_Int_Tables_number 1
_cell_length_a 11.076
_cell_length_b 3.983
_cell_length_c 11.347
_cell_angle_alpha 90.00
_cell_angle_beta 108.68
_cell_angle_gamma 90.00
loop_
_symmetry_equiv_pos_as_xyz
'x,y,z'
loop_
_atom_site_label
_atom_site_fract_x
_atom_site_fract_y
_atom_site_fract_z
Pm1 0.453 0.750 0.307
Pm2 0.547 0.250 0.693
S1 0.897 0.250 0.061
S2 0.418 0.250 0.096
S3 0.694 0.750 0.249
S4 0.240 0.250 0.274
S5 0.022 0.750 0.388
S6 0.615 0.250 0.463
S7 0.385 0.750 0.537
S8 0.978 0.250 0.612
S9 0.760 0.750 0.726
S10 0.306 0.250 0.751
S11 0.582 0.750 0.904
S12 0.103 0.750 0.939
Y1 0.661 0.250 0.085
Y2 0.063 0.750 0.168
Y3 0.819 0.750 0.498
Y4 0.181 0.250 0.502
Y5 0.937 0.250 0.832
Y6 0.339 0.750 0.915
```

Output
calculated density: 4.23 g/cm3
M_tot: 0.00 μB per atom
calculated total energy: -0.5129 Ry per atom



[15]
# HfNb3C

A geometry-optimized HfNb3C structure (PBE, OQMD via LeMat-Bulk).

```
data_HfNb3C
_symmetry_space_group_name_H-M 'P 1'
_symmetry_Int_Tables_number 1
_cell_length_a 4.393
_cell_length_b 4.393
_cell_length_c 4.393
_cell_angle_alpha 90.00
_cell_angle_beta 90.00
_cell_angle_gamma 90.00
loop_
_symmetry_equiv_pos_as_xyz
'x,y,z'
loop_
_atom_site_label
_atom_site_fract_x
_atom_site_fract_y
_atom_site_fract_z
C1 0.500 0.500 0.500
Hf1 0.000 0.000 0.000
Nb1 0.500 0.500 0.000
Nb2 0.500 0.000 0.500
Nb3 0.000 0.500 0.500
```

Output
calculated density: 9.19 g/cm3
M_tot: 0.00 μB per atom
calculated total energy: -0.7372 Ry per atom



[16]
# FeCoP2Pd2

A geometry-optimized FeCoP2Pd2 structure (PBE, OQMD via LeMat-Bulk).

```
data_FeCoP2Pd2
_symmetry_space_group_name_H-M 'P 1'
_symmetry_Int_Tables_number 1
_cell_length_a 3.629
_cell_length_b 3.629
_cell_length_c 5.805
_cell_angle_alpha 90.00
_cell_angle_beta 90.00
_cell_angle_gamma 90.00
loop_
_symmetry_equiv_pos_as_xyz
'x,y,z'
loop_
_atom_site_label
_atom_site_fract_x
_atom_site_fract_y
_atom_site_fract_z
Co1 0.000 0.000 0.000
Fe1 0.500 0.500 0.000
P1 0.000 0.500 0.215
P2 0.500 0.000 0.785
Pd1 0.500 0.000 0.384
Pd2 0.000 0.500 0.616
```

Output
calculated density: 8.46 g/cm3
M_tot: 0.00 μB per atom
calculated total energy: -0.4901 Ry per atom



[17]
# Nb4In3W2N3

A geometry-optimized Nb4In3W2N3 structure (PBE, OQMD via LeMat-Bulk).

```
data_Nb4In3W2N3
_symmetry_space_group_name_H-M 'P 1'
_symmetry_Int_Tables_number 1
_cell_length_a 5.559
_cell_length_b 5.559
_cell_length_c 14.275
_cell_angle_alpha 101.18
_cell_angle_beta 101.18
_cell_angle_gamma 59.98
loop_
_symmetry_equiv_pos_as_xyz
'x,y,z'
loop_
_atom_site_label
_atom_site_fract_x
_atom_site_fract_y
_atom_site_fract_z
In1 0.416 0.262 0.249
In2 0.095 0.905 0.250
In3 0.738 0.584 0.251
In4 0.262 0.416 0.749
In5 0.905 0.095 0.750
In6 0.584 0.738 0.751
N1 0.668 0.163 0.000
N2 0.000 0.500 0.000
N3 0.332 0.837 0.000
N4 0.163 0.668 0.500
N5 0.500 0.000 0.500
N6 0.837 0.332 0.500
Nb1 0.022 0.200 0.083
Nb2 0.695 0.855 0.083
Nb3 0.145 0.305 0.417
Nb4 0.800 0.978 0.417
Nb5 0.200 0.022 0.583
Nb6 0.855 0.695 0.583
Nb7 0.305 0.145 0.917
Nb8 0.978 0.800 0.917
W1 0.364 0.526 0.075
W2 0.474 0.636 0.425
W3 0.526 0.364 0.575
W4 0.636 0.474 0.925
```

Output
calculated density: 10.04 g/cm3
M_tot: 0.00 μB per atom
calculated total energy: -0.6281 Ry per atom



[18]
# Lu4C3

A geometry-optimized Lu4C3 structure (PBE, OQMD via LeMat-Bulk).

```
data_Lu4C3
_symmetry_space_group_name_H-M 'P 1'
_symmetry_Int_Tables_number 1
_cell_length_a 6.601
_cell_length_b 6.601
_cell_length_c 6.601
_cell_angle_alpha 109.47
_cell_angle_beta 109.47
_cell_angle_gamma 109.47
loop_
_symmetry_equiv_pos_as_xyz
'x,y,z'
loop_
_atom_site_label
_atom_site_fract_x
_atom_site_fract_y
_atom_site_fract_z
C1 0.750 0.875 0.125
C2 0.625 0.375 0.250
C3 0.250 0.625 0.375
C4 0.375 0.250 0.625
C5 0.875 0.125 0.750
C6 0.125 0.750 0.875
Lu1 0.406 0.500 0.000
Lu2 0.906 0.500 0.000
Lu3 0.094 0.094 0.094
Lu4 0.500 0.000 0.406
Lu5 0.000 0.406 0.500
Lu6 0.000 0.906 0.500
Lu7 0.594 0.594 0.594
Lu8 0.500 0.000 0.906
```

Output
calculated density: 11.04 g/cm3
M_tot: 0.00 μB per atom
calculated total energy: -0.5067 Ry per atom



[19]
# GdHoAl3Ge2

A geometry-optimized GdHoAl3Ge2 structure (PBE, OQMD via LeMat-Bulk).

```
data_GdHoAl3Ge2
_symmetry_space_group_name_H-M 'P 1'
_symmetry_Int_Tables_number 1
_cell_length_a 5.542
_cell_length_b 5.542
_cell_length_c 6.762
_cell_angle_alpha 99.42
_cell_angle_beta 99.42
_cell_angle_gamma 43.23
loop_
_symmetry_equiv_pos_as_xyz
'x,y,z'
loop_
_atom_site_label
_atom_site_fract_x
_atom_site_fract_y
_atom_site_fract_z
Al1 0.697 0.697 0.377
Al2 0.001 0.001 0.501
Al3 0.302 0.302 0.625
Gd1 0.383 0.383 0.183
Ge1 0.099 0.099 0.141
Ge2 0.900 0.900 0.857
Ho1 0.617 0.617 0.816
```

Output
calculated density: 6.50 g/cm3
M_tot: 0.00 μB per atom
calculated total energy: -0.3517 Ry per atom



[20]
# NiAg3

A geometry-optimized NiAg3 structure (PBE, OQMD via LeMat-Bulk).

```
data_NiAg3
_symmetry_space_group_name_H-M 'P 1'
_symmetry_Int_Tables_number 1
_cell_length_a 4.957
_cell_length_b 4.957
_cell_length_c 4.957
_cell_angle_alpha 133.07
_cell_angle_beta 133.07
_cell_angle_gamma 68.55
loop_
_symmetry_equiv_pos_as_xyz
'x,y,z'
loop_
_atom_site_label
_atom_site_fract_x
_atom_site_fract_y
_atom_site_fract_z
Ag1 0.500 0.500 0.000
Ag2 0.750 0.250 0.500
Ag3 0.250 0.750 0.500
Ni1 0.000 0.000 0.000
```

Output
calculated density: 9.94 g/cm3
M_tot: 0.00 μB per atom
ΔH_f (0 K): 179 meV/atom